Here is crystalline CrTe2H at its relaxed geometry from Alexandria via LeMat-Bulk. Energies are from GGA-PBE.

```
CrTe2H
1.0
-2.5874 3.1186 -0.4950
-2.7024 -3.1570 -5.7637
-1.2474 -5.3453 6.3153
Cr Te H
2 4 2
Direct
0.2536 0.2369 0.5038
0.7464 0.7631 0.4962
0.0402 0.8517 0.2887
0.4399 0.6464 0.6909
0.5601 0.3536 0.3091
0.9598 0.1483 0.7113
0.3082 0.2636 0.0567
0.6918 0.7364 0.9433
```

Output
As for the space group: P-1, No. 2. The total energy comes out at -4.84 eV/atom.